No. 1
# PBE Na3CePu2N6, optimized geometry
data_Na3CePu2N6
_symmetry_space_group_name_H-M 'P 1'
_symmetry_Int_Tables_number 1
_cell_length_a 3.554
_cell_length_b 7.006
_cell_length_c 7.685
_cell_angle_alpha 102.58
_cell_angle_beta 103.37
_cell_angle_gamma 90.00
loop_
_symmetry_equiv_pos_as_xyz
'x,y,z'
loop_
_atom_site_label
_atom_site_fract_x
_atom_site_fract_y
_atom_site_fract_z
Pu1 0.831 0.667 0.662
Pu2 0.169 0.333 0.338
Ce1 0.500 0.000 0.000
N1 0.972 0.761 0.945
N2 0.028 0.239 0.055
N3 0.344 0.873 0.687
N4 0.311 0.442 0.621
N5 0.656 0.127 0.313
N6 0.689 0.558 0.379
Na1 0.500 0.500 0.000
Na2 0.829 0.163 0.657
Na3 0.171 0.837 0.343
# Uncorrected formation energy in meV/atom: -807
# Crystal system: monoclinic


No. 2
# PBE NaCe2RuN4, optimized geometry
data_NaCe2RuN4
_symmetry_space_group_name_H-M 'P 1'
_symmetry_Int_Tables_number 1
_cell_length_a 3.552
_cell_length_b 6.343
_cell_length_c 12.340
_cell_angle_alpha 90.00
_cell_angle_beta 90.00
_cell_angle_gamma 106.26
loop_
_symmetry_equiv_pos_as_xyz
'x,y,z'
loop_
_atom_site_label
_atom_site_fract_x
_atom_site_fract_y
_atom_site_fract_z
N1 0.753 0.506 0.903
N2 0.000 0.000 0.000
N3 0.753 0.506 0.597
N4 0.633 0.265 0.250
N5 0.247 0.494 0.097
N6 0.367 0.735 0.750
N7 0.247 0.494 0.403
N8 0.000 0.000 0.500
Ce1 0.631 0.263 0.451
Ce2 0.369 0.737 0.549
Ce3 0.631 0.263 0.049
Ce4 0.369 0.737 0.951
Ru1 0.795 0.591 0.750
Ru2 0.205 0.409 0.250
Na1 0.934 0.869 0.250
Na2 0.066 0.131 0.750
# Uncorrected formation energy in meV/atom: -739
# Crystal system: orthorhombic


No. 3
# PBE NaCeSbN, optimized geometry
data_NaCeSbN
_symmetry_space_group_name_H-M 'P 1'
_symmetry_Int_Tables_number 1
_cell_length_a 3.279
_cell_length_b 3.279
_cell_length_c 8.403
_cell_angle_alpha 101.25
_cell_angle_beta 101.25
_cell_angle_gamma 90.00
loop_
_symmetry_equiv_pos_as_xyz
'x,y,z'
loop_
_atom_site_label
_atom_site_fract_x
_atom_site_fract_y
_atom_site_fract_z
Ce1 0.612 0.612 0.223
N1 0.156 0.156 0.311
Na1 0.302 0.302 0.605
Sb1 0.942 0.942 0.885
# Uncorrected formation energy in meV/atom: -709
# Crystal system: tetragonal


No. 4
# PBE NaCeTa4N8, optimized geometry
data_NaCeTa4N8
_symmetry_space_group_name_H-M 'P 1'
_symmetry_Int_Tables_number 1
_cell_length_a 6.320
_cell_length_b 6.320
_cell_length_c 6.621
_cell_angle_alpha 61.49
_cell_angle_beta 61.49
_cell_angle_gamma 60.00
loop_
_symmetry_equiv_pos_as_xyz
'x,y,z'
loop_
_atom_site_label
_atom_site_fract_x
_atom_site_fract_y
_atom_site_fract_z
Na1 0.371 0.371 0.887
N1 0.248 0.741 0.269
N2 0.803 0.246 0.705
N3 0.231 0.231 0.306
N4 0.741 0.248 0.269
N5 0.741 0.741 0.269
N6 0.246 0.803 0.705
N7 0.246 0.246 0.705
N8 0.758 0.758 0.726
Ce1 0.999 0.999 0.002
Ta1 0.625 0.625 0.125
Ta2 0.005 0.479 0.511
Ta3 0.479 0.005 0.511
Ta4 0.005 0.005 0.511
# Uncorrected formation energy in meV/atom: -951
# Crystal system: trigonal


No. 5
# PBE NaCe2TcN4, optimized geometry
data_NaCe2TcN4
_symmetry_space_group_name_H-M 'P 1'
_symmetry_Int_Tables_number 1
_cell_length_a 3.523
_cell_length_b 6.511
_cell_length_c 12.215
_cell_angle_alpha 90.00
_cell_angle_beta 90.00
_cell_angle_gamma 105.69
loop_
_symmetry_equiv_pos_as_xyz
'x,y,z'
loop_
_atom_site_label
_atom_site_fract_x
_atom_site_fract_y
_atom_site_fract_z
Tc1 0.204 0.407 0.250
Tc2 0.796 0.593 0.750
N1 0.246 0.491 0.403
N2 0.000 0.000 0.000
N3 0.000 0.000 0.500
N4 0.627 0.255 0.250
N5 0.754 0.509 0.597
N6 0.373 0.745 0.750
N7 0.754 0.509 0.903
N8 0.246 0.491 0.097
Ce1 0.630 0.261 0.044
Ce2 0.370 0.739 0.544
Ce3 0.370 0.739 0.956
Ce4 0.630 0.261 0.456
Na1 0.051 0.103 0.750
Na2 0.949 0.897 0.250
# Uncorrected formation energy in meV/atom: -796
# Crystal system: orthorhombic


No. 6
# PBE Na2CeTcN4, optimized geometry
data_Na2CeTcN4
_symmetry_space_group_name_H-M 'P 1'
_symmetry_Int_Tables_number 1
_cell_length_a 5.250
_cell_length_b 7.013
_cell_length_c 7.140
_cell_angle_alpha 90.00
_cell_angle_beta 90.00
_cell_angle_gamma 90.00
loop_
_symmetry_equiv_pos_as_xyz
'x,y,z'
loop_
_atom_site_label
_atom_site_fract_x
_atom_site_fract_y
_atom_site_fract_z
N1 0.918 0.300 0.222
N2 0.418 0.700 0.722
N3 0.431 0.080 0.500
N4 0.918 0.300 0.778
N5 0.931 0.920 0.000
N6 0.851 0.826 0.500
N7 0.351 0.174 0.000
N8 0.418 0.700 0.278
Tc1 0.505 0.820 0.500
Tc2 0.005 0.180 0.000
Na1 0.460 0.356 0.257
Na2 0.960 0.644 0.243
Na3 0.960 0.644 0.757
Na4 0.460 0.356 0.743
Ce1 0.457 0.871 0.000
Ce2 0.957 0.129 0.500
# Uncorrected formation energy in meV/atom: -485
# Crystal system: orthorhombic


No. 7
# PBE Na2CeUN4, optimized geometry
data_Na2CeUN4
_symmetry_space_group_name_H-M 'P 1'
_symmetry_Int_Tables_number 1
_cell_length_a 3.569
_cell_length_b 6.130
_cell_length_c 5.988
_cell_angle_alpha 109.76
_cell_angle_beta 90.00
_cell_angle_gamma 90.00
loop_
_symmetry_equiv_pos_as_xyz
'x,y,z'
loop_
_atom_site_label
_atom_site_fract_x
_atom_site_fract_y
_atom_site_fract_z
Na1 0.500 0.000 0.500
Na2 0.000 0.500 0.500
N1 0.500 0.787 0.815
N2 0.500 0.213 0.185
N3 0.000 0.245 0.820
N4 0.000 0.755 0.180
U1 0.000 0.000 0.000
Ce1 0.500 0.500 0.000
# Uncorrected formation energy in meV/atom: -1040
# Crystal system: monoclinic


No. 8
# PBE Na3CeU2N6, optimized geometry
data_Na3CeU2N6
_symmetry_space_group_name_H-M 'P 1'
_symmetry_Int_Tables_number 1
_cell_length_a 3.550
_cell_length_b 6.990
_cell_length_c 7.819
_cell_angle_alpha 102.00
_cell_angle_beta 103.12
_cell_angle_gamma 90.00
loop_
_symmetry_equiv_pos_as_xyz
'x,y,z'
loop_
_atom_site_label
_atom_site_fract_x
_atom_site_fract_y
_atom_site_fract_z
U1 0.167 0.333 0.335
U2 0.833 0.667 0.665
N1 0.341 0.867 0.682
N2 0.659 0.133 0.318
N3 0.975 0.766 0.950
N4 0.685 0.547 0.370
N5 0.315 0.453 0.630
N6 0.025 0.234 0.050
Na1 0.500 0.500 0.000
Na2 0.831 0.164 0.662
Na3 0.169 0.836 0.338
Ce1 0.500 0.000 0.000
# Uncorrected formation energy in meV/atom: -1043
# Crystal system: monoclinic


No. 9
# PBE Na2CeWN4, optimized geometry
data_Na2CeWN4
_symmetry_space_group_name_H-M 'P 1'
_symmetry_Int_Tables_number 1
_cell_length_a 5.268
_cell_length_b 6.992
_cell_length_c 7.175
_cell_angle_alpha 90.00
_cell_angle_beta 90.00
_cell_angle_gamma 90.00
loop_
_symmetry_equiv_pos_as_xyz
'x,y,z'
loop_
_atom_site_label
_atom_site_fract_x
_atom_site_fract_y
_atom_site_fract_z
W1 0.502 0.825 0.500
W2 0.002 0.175 0.000
Na1 0.962 0.648 0.754
Na2 0.462 0.352 0.254
Na3 0.962 0.648 0.246
Na4 0.462 0.352 0.746
Ce1 0.462 0.859 0.000
Ce2 0.962 0.141 0.500
N1 0.921 0.301 0.771
N2 0.917 0.913 0.000
N3 0.417 0.087 0.500
N4 0.421 0.699 0.729
N5 0.353 0.158 0.000
N6 0.921 0.301 0.229
N7 0.421 0.699 0.271
N8 0.853 0.842 0.500
# Uncorrected formation energy in meV/atom: -733
# Crystal system: orthorhombic


No. 10
# PBE Na3Ce2WN6, optimized geometry
data_Na3Ce2WN6
_symmetry_space_group_name_H-M 'P 1'
_symmetry_Int_Tables_number 1
_cell_length_a 5.883
_cell_length_b 5.883
_cell_length_c 6.054
_cell_angle_alpha 99.23
_cell_angle_beta 99.23
_cell_angle_gamma 120.05
loop_
_symmetry_equiv_pos_as_xyz
'x,y,z'
loop_
_atom_site_label
_atom_site_fract_x
_atom_site_fract_y
_atom_site_fract_z
N1 0.361 0.063 0.194
N2 0.237 0.237 0.810
N3 0.639 0.937 0.806
N4 0.937 0.639 0.806
N5 0.763 0.763 0.190
N6 0.063 0.361 0.194
W1 0.000 0.000 0.000
Na1 0.157 0.843 0.500
Na2 0.500 0.500 0.500
Na3 0.843 0.157 0.500
Ce1 0.333 0.667 0.000
Ce2 0.667 0.333 0.000
# Uncorrected formation energy in meV/atom: -663
# Crystal system: monoclinic


No. 11
# PBE NaCe2WN4, optimized geometry
data_NaCe2WN4
_symmetry_space_group_name_H-M 'P 1'
_symmetry_Int_Tables_number 1
_cell_length_a 3.576
_cell_length_b 6.431
_cell_length_c 12.200
_cell_angle_alpha 90.00
_cell_angle_beta 90.00
_cell_angle_gamma 106.14
loop_
_symmetry_equiv_pos_as_xyz
'x,y,z'
loop_
_atom_site_label
_atom_site_fract_x
_atom_site_fract_y
_atom_site_fract_z
W1 0.167 0.335 0.250
W2 0.833 0.665 0.750
N1 0.598 0.197 0.250
N2 0.750 0.500 0.617
N3 0.750 0.500 0.883
N4 0.000 0.000 0.500
N5 0.250 0.500 0.117
N6 0.250 0.500 0.383
N7 0.000 0.000 0.000
N8 0.402 0.803 0.750
Ce1 0.630 0.260 0.038
Ce2 0.370 0.740 0.538
Ce3 0.630 0.260 0.462
Ce4 0.370 0.740 0.962
Na1 0.098 0.197 0.750
Na2 0.902 0.803 0.250
# Uncorrected formation energy in meV/atom: -847
# Crystal system: orthorhombic


No. 12
# PBE NaCe2Zr3N6, optimized geometry
data_NaCe2Zr3N6
_symmetry_space_group_name_H-M 'P 1'
_symmetry_Int_Tables_number 1
_cell_length_a 3.342
_cell_length_b 6.898
_cell_length_c 7.564
_cell_angle_alpha 105.41
_cell_angle_beta 102.76
_cell_angle_gamma 90.00
loop_
_symmetry_equiv_pos_as_xyz
'x,y,z'
loop_
_atom_site_label
_atom_site_fract_x
_atom_site_fract_y
_atom_site_fract_z
Ce1 0.162 0.322 0.323
Ce2 0.838 0.678 0.677
Zr1 0.838 0.168 0.675
Zr2 0.500 0.500 0.000
Zr3 0.162 0.832 0.325
N1 0.339 0.402 0.678
N2 0.326 0.929 0.652
N3 0.004 0.724 0.008
N4 0.996 0.276 0.992
N5 0.661 0.598 0.322
N6 0.674 0.071 0.348
Na1 0.500 0.000 0.000
# Uncorrected formation energy in meV/atom: -1458
# Crystal system: monoclinic